(i)
Material: P2OsSBr
Method: DFT, GGA-PBE
State: relaxed

Cell lengths 4.659, 4.659, 4.640 Å; angles 90.00, 90.00, 90.00 degrees
Space group P4/mmm (No. 123)
Inequivalent atoms, fractional coordinates:
P1 0.000 0.500 0.000 [2 per cell]
Os1 0.000 0.000 0.000 [1 per cell]
S1 0.000 0.000 0.500 [1 per cell]
Br1 0.500 0.500 0.500 [1 per cell]

***

(ii)
Material: P2OsSBr
Method: DFT, GGA-PBE
State: relaxed

Cell lengths 4.648, 4.648, 4.530 Å; angles 90.00, 90.00, 90.00 degrees
Space group P4/mmm (No. 123)
Inequivalent atoms, fractional coordinates:
P1 0.000 0.500 0.000 [2 per cell]
Os1 0.000 0.000 0.500 [1 per cell]
S1 0.500 0.500 0.500 [1 per cell]
Br1 0.500 0.500 0.000 [1 per cell]

***

Q: Which of them is the most stable? A: (i).

***

(i)
Material: POsSeBr2
Method: DFT, GGA-PBE
State: relaxed

Cell lengths 5.064, 5.064, 4.727 Å; angles 90.00, 90.00, 90.00 degrees
Space group P4/mmm (No. 123)
Inequivalent atoms, fractional coordinates:
P1 0.000 0.000 0.000 [1 per cell]
Os1 0.500 0.500 0.500 [1 per cell]
Se1 0.500 0.500 0.000 [1 per cell]
Br1 0.000 0.500 0.500 [2 per cell]

***

(ii)
Material: POsSeBr2
Method: DFT, GGA-PBE
State: relaxed

Cell lengths 4.923, 4.923, 5.099 Å; angles 90.00, 90.00, 90.00 degrees
Space group P4/mmm (No. 123)
Inequivalent atoms, fractional coordinates:
P1 0.000 0.000 0.000 [1 per cell]
Os1 0.500 0.500 0.500 [1 per cell]
Se1 0.000 0.000 0.500 [1 per cell]
Br1 0.000 0.500 0.000 [2 per cell]

***

Q: Which of them is the most stable? A: (i).